Entry from the Alexandria database: TaBN2F after structural relaxation (PBE-GGA).

Values from the calculation:
The value obtained for the energy above the lowest structure with this stoichiometry is 0.292 eV/atom. The calculation puts the energy relative to the elements, uncorrected at 314 meV/atom.

Unit cell a=4.0509 b=4.0509 c=4.0654 alpha=90.00 beta=90.00 gamma=90.00
Fractional positions:
B (0.5000, 0.5000, 0.5000)
N (0.5000, 0.0000, 0.0000)
N (0.0000, 0.5000, 0.0000)
Ta (0.0000, 0.0000, 0.0000)
F (0.0000, 0.0000, 0.5000)

Entry from the Alexandria database: Ac3PdO6 after structural relaxation (PBE-GGA).

Values from the calculation:
The calculation puts the energy relative to the elements, uncorrected at -2542 meV/atom.

Unit cell a=7.0838 b=7.0838 c=7.0838 alpha=97.83 beta=97.83 gamma=97.83
Fractional positions:
O (0.2924, 0.9554, 0.0583)
O (0.5834, 0.4420, 0.1935)
O (0.4166, 0.5580, 0.8065)
O (0.8065, 0.4166, 0.5580)
O (0.1935, 0.5834, 0.4420)
O (0.0446, 0.9417, 0.7076)
O (0.4420, 0.1935, 0.5834)
O (0.7076, 0.0446, 0.9417)
O (0.9554, 0.0583, 0.2924)
O (0.5580, 0.8065, 0.4166)
O (0.9417, 0.7076, 0.0446)
O (0.0583, 0.2924, 0.9554)
Ac (0.8843, 0.7194, 0.4018)
Ac (0.2806, 0.5982, 0.1157)
Ac (0.5982, 0.1157, 0.2806)
Ac (0.4018, 0.8843, 0.7194)
Ac (0.1157, 0.2806, 0.5982)
Ac (0.7194, 0.4018, 0.8843)
Pd (0.5000, 0.5000, 0.5000)
Pd (0.0000, 0.0000, 0.0000)

Entry from the Alexandria database: SbHW2 after structural relaxation (PBE-GGA).

Values from the calculation:
The value obtained for the energy above the lowest structure with this stoichiometry is 0.000 eV/atom.

Unit cell a=5.0109 b=5.0109 c=6.2372 alpha=66.32 beta=66.32 gamma=90.00
Fractional positions:
Sb (0.0000, 0.0000, 0.0000)
Sb (0.7500, 0.2500, 0.5000)
W (0.3226, 0.6250, 0.2500)
W (0.8750, 0.6774, 0.7500)
W (0.3750, 0.5726, 0.7500)
W (0.4274, 0.1250, 0.2500)
H (0.5000, 0.5000, 0.0000)
H (0.2500, 0.7500, 0.5000)

Entry from the Alexandria database: LaMgGa4 after structural relaxation (PBE-GGA).

Values from the calculation:
The value obtained for the energy above the lowest structure with this stoichiometry is 0.101 eV/atom. The formation energy is -1.75 eV/f.u.

Unit cell a=5.6303 b=5.6303 c=5.6303 alpha=60.00 beta=60.00 gamma=60.00
Fractional positions:
Ga (0.1260, 0.6247, 0.6247)
Ga (0.6247, 0.6247, 0.6247)
Ga (0.6247, 0.6247, 0.1260)
Ga (0.6247, 0.1260, 0.6247)
La (0.2500, 0.2500, 0.2500)
Mg (0.0000, 0.0000, 0.0000)

Entry from the Alexandria database: LaRePb2 after structural relaxation (PBE-GGA).

Values from the calculation:
The value obtained for the energy above the lowest structure with this stoichiometry is 0.019 eV/atom. The formation energy is 1.29 eV/f.u.

Unit cell a=5.1339 b=5.1339 c=6.8781 alpha=61.07 beta=61.07 gamma=44.11
Fractional positions:
Re (0.4550, 0.4550, 0.7034)
La (0.1977, 0.1977, 0.2837)
Pb (0.0422, 0.0422, 0.9471)
Pb (0.8051, 0.8051, 0.5657)

Entry from the Alexandria database: NbCoS after structural relaxation (PBE-GGA).

Values from the calculation:
The calculation puts the energy relative to the elements, uncorrected at -371 meV/atom.

Unit cell a=3.3479 b=4.5316 c=8.2108 alpha=126.72 beta=90.00 gamma=111.68
Fractional positions:
Co (0.2113, 0.4227, 0.0948)
Co (0.7887, 0.5773, 0.9052)
Nb (0.0541, 0.1081, 0.3254)
Nb (0.9459, 0.8919, 0.6746)
S (0.2679, 0.5357, 0.7243)
S (0.7321, 0.4643, 0.2757)

Entry from the Alexandria database: ScZn2IrW after structural relaxation (PBE-GGA).

Values from the calculation:
The formation energy is 4.73 eV/f.u.

Unit cell a=4.7630 b=4.8043 c=4.7630 alpha=90.00 beta=90.00 gamma=90.00
Fractional positions:
Ir (0.0000, 0.0000, 0.0000)
Sc (0.0000, 0.5000, 0.0000)
Zn (0.5000, 0.0000, 0.0000)
Zn (0.0000, 0.0000, 0.5000)
W (0.5000, 0.5000, 0.5000)

Entry from the Alexandria database: YHo2Bi after structural relaxation (PBE-GGA).

Values from the calculation:
The value obtained for the energy above the lowest structure with this stoichiometry is 0.236 eV/atom. The formation energy is -0.63 eV/f.u.

Unit cell a=4.0305 b=4.0305 c=9.8063 alpha=78.14 beta=78.14 gamma=60.00
Fractional positions:
Ho (0.2631, 0.2631, 0.2106)
Ho (0.0703, 0.0703, 0.7892)
Y (0.5004, 0.5004, 0.4988)
Bi (0.6662, 0.6662, 0.0013)

Entry from the Alexandria database: ThSc5Pb3 after structural relaxation (PBE-GGA).

Values from the calculation:
The formation energy is -3.14 eV/f.u.

Unit cell a=6.3822 b=8.9827 c=8.9829 alpha=120.00 beta=90.00 gamma=90.00
Fractional positions:
Sc (0.2500, 0.3274, 0.3274)
Sc (0.2500, 0.0000, 0.6726)
Sc (0.7500, 0.3274, 0.0000)
Sc (0.0000, 0.6667, 0.3333)
Sc (0.2500, 0.6726, 0.0000)
Sc (0.7500, 0.0000, 0.3274)
Sc (0.5000, 0.6667, 0.3333)
Sc (0.7500, 0.6726, 0.6726)
Sc (0.5000, 0.3333, 0.6667)
Sc (0.0000, 0.3333, 0.6667)
Th (0.5000, 0.0000, 0.0000)
Th (0.0000, 0.0000, 0.0000)
Pb (0.7500, 0.0000, 0.6541)
Pb (0.2500, 0.3459, 0.0000)
Pb (0.7500, 0.3459, 0.3459)
Pb (0.2500, 0.6541, 0.6541)
Pb (0.7500, 0.6541, 0.0000)
Pb (0.2500, 0.0000, 0.3459)

Entry from the Alexandria database: Mg5Cu after structural relaxation (PBE-GGA).

Values from the calculation:
The value obtained for the energy above the lowest structure with this stoichiometry is 0.047 eV/atom. The formation energy is 0.21 eV/f.u.

Unit cell a=7.9769 b=7.9769 c=4.8104 alpha=90.00 beta=90.00 gamma=156.57
Fractional positions:
Cu (0.0012, 0.9988, 0.0000)
Mg (0.3532, 0.6468, 0.0000)
Mg (0.2214, 0.7786, 0.5000)
Mg (0.8891, 0.1109, 0.5000)
Mg (0.6569, 0.3431, 0.0000)
Mg (0.5449, 0.4551, 0.5000)

Entry from the Alexandria database: KCuAg4 after structural relaxation (PBE-GGA).

Values from the calculation:
The formation energy is 1.25 eV/f.u.

Unit cell a=5.6577 b=5.6577 c=5.6577 alpha=60.00 beta=60.00 gamma=60.00
Fractional positions:
Ag (0.8729, 0.3757, 0.3757)
Ag (0.3757, 0.3757, 0.3757)
Ag (0.3757, 0.8729, 0.3757)
Ag (0.3757, 0.3757, 0.8729)
K (0.0000, 0.0000, 0.0000)
Cu (0.7500, 0.7500, 0.7500)

Entry from the Alexandria database: AlZn2Cl after structural relaxation (PBE-GGA).

Values from the calculation:
The value obtained for the energy above the lowest structure with this stoichiometry is 0.135 eV/atom. The calculation puts the energy relative to the elements, uncorrected at -9 meV/atom.

Unit cell a=4.8877 b=4.8877 c=4.0585 alpha=76.60 beta=76.60 gamma=114.29
Fractional positions:
Al (0.5000, 0.0000, 0.5000)
Zn (0.5000, 0.5000, 0.0000)
Zn (0.0000, 0.0000, 0.0000)
Cl (0.0000, 0.5000, 0.5000)

Entry from the Alexandria database: TbTm2Au2 after structural relaxation (PBE-GGA).

Values from the calculation:
The formation energy is -3.57 eV/f.u.

Unit cell a=3.7680 b=8.1050 c=8.1050 alpha=90.00 beta=90.00 gamma=90.00
Fractional positions:
Tb (0.5000, 0.0000, 0.5000)
Tb (0.5000, 0.5000, 0.0000)
Tm (0.0000, 0.3390, 0.6610)
Tm (0.0000, 0.8390, 0.8390)
Tm (0.0000, 0.1610, 0.1610)
Tm (0.0000, 0.6610, 0.3390)
Au (0.5000, 0.6339, 0.6339)
Au (0.5000, 0.3661, 0.3661)
Au (0.5000, 0.8661, 0.1339)
Au (0.5000, 0.1339, 0.8661)

Entry from the Alexandria database: Sc4Sn after structural relaxation (PBE-GGA).

Values from the calculation:
The value obtained for the energy above the lowest structure with this stoichiometry is 0.659 eV/atom. The formation energy is 1.93 eV/f.u.

Unit cell a=5.3608 b=5.3608 c=5.3608 alpha=90.00 beta=90.00 gamma=90.00
Fractional positions:
Sc (0.5000, 0.5000, 0.0000)
Sc (0.5000, 0.0000, 0.5000)
Sc (0.0000, 0.0000, 0.0000)
Sc (0.0000, 0.5000, 0.5000)
Sn (0.5000, 0.5000, 0.5000)

Entry from the Alexandria database: Sm5TmBi4 after structural relaxation (PBE-GGA).

Values from the calculation:
The formation energy is -5.18 eV/f.u.

Unit cell a=4.4449 b=8.6435 c=9.8793 alpha=105.38 beta=103.00 gamma=90.00
Fractional positions:
Sm (0.5000, 0.5000, 0.0000)
Sm (0.1643, 0.8156, 0.3287)
Sm (0.8207, 0.6482, 0.6414)
Sm (0.8357, 0.1844, 0.6713)
Sm (0.1793, 0.3518, 0.3586)
Tm (0.5000, 0.0000, 0.0000)
Bi (0.9917, 0.7483, 0.9834)
Bi (0.6668, 0.0816, 0.3335)
Bi (0.0083, 0.2517, 0.0166)
Bi (0.3332, 0.9184, 0.6665)

Entry from the Alexandria database: TmLuPd after structural relaxation (PBE-GGA).

Values from the calculation:
The value obtained for the energy above the lowest structure with this stoichiometry is 0.072 eV/atom. The formation energy is -1.59 eV/f.u.

Unit cell a=4.8061 b=4.8061 c=4.8061 alpha=60.00 beta=60.00 gamma=60.00
Fractional positions:
Tm (0.0000, 0.0000, 0.0000)
Lu (0.5000, 0.5000, 0.5000)
Pd (0.2500, 0.2500, 0.2500)

Entry from the Alexandria database: Pr7Dy6Y16 after structural relaxation (PBE-GGA).

Values from the calculation:
The formation energy is 5.38 eV/f.u.

Unit cell a=11.1448 b=11.1448 c=11.1448 alpha=60.00 beta=60.00 gamma=60.00
Fractional positions:
Y (0.1623, 0.6126, 0.6126)
Y (0.6126, 0.6126, 0.6126)
Y (0.8499, 0.8499, 0.4502)
Y (0.3874, 0.8377, 0.3874)
Y (0.1501, 0.5498, 0.1501)
Y (0.8499, 0.8499, 0.8499)
Y (0.5498, 0.1501, 0.1501)
Y (0.8377, 0.3874, 0.3874)
Y (0.1501, 0.1501, 0.5498)
Y (0.4502, 0.8499, 0.8499)
Y (0.3874, 0.3874, 0.3874)
Y (0.1501, 0.1501, 0.1501)
Y (0.6126, 0.6126, 0.1623)
Y (0.6126, 0.1623, 0.6126)
Y (0.3874, 0.3874, 0.8377)
Y (0.8499, 0.4502, 0.8499)
Pr (0.0000, 0.5000, 0.0000)
Pr (0.0000, 0.5000, 0.5000)
Pr (0.5000, 0.0000, 0.5000)
Pr (0.0000, 0.0000, 0.0000)
Pr (0.0000, 0.0000, 0.5000)
Pr (0.5000, 0.5000, 0.0000)
Pr (0.5000, 0.0000, 0.0000)
Dy (0.2249, 0.7751, 0.7751)
Dy (0.2249, 0.2249, 0.7751)
Dy (0.7751, 0.2249, 0.2249)
Dy (0.2249, 0.7751, 0.2249)
Dy (0.7751, 0.2249, 0.7751)
Dy (0.7751, 0.7751, 0.2249)

Entry from the Alexandria database: CaCrC3 after structural relaxation (PBE-GGA).

Values from the calculation:
The value obtained for the energy above the lowest structure with this stoichiometry is 0.000 eV/atom. The formation energy is 4.62 eV/f.u.

Unit cell a=3.8624 b=3.8624 c=3.8624 alpha=90.00 beta=90.00 gamma=90.00
Fractional positions:
C (0.5000, 0.0000, 0.0000)
C (0.0000, 0.0000, 0.5000)
C (0.0000, 0.5000, 0.0000)
Ca (0.5000, 0.5000, 0.5000)
Cr (0.0000, 0.0000, 0.0000)

Entry from the Alexandria database: KSr2Cl after structural relaxation (PBE-GGA).

Values from the calculation:
The value obtained for the energy above the lowest structure with this stoichiometry is 0.072 eV/atom. The calculation puts the energy relative to the elements, uncorrected at -759 meV/atom.

Unit cell a=12.1480 b=12.1480 c=12.1480 alpha=20.01 beta=20.01 gamma=20.01
Fractional positions:
Cl (0.2500, 0.2500, 0.2500)
Sr (0.9787, 0.9787, 0.9787)
Sr (0.5213, 0.5213, 0.5213)
K (0.7500, 0.7500, 0.7500)

Entry from the Alexandria database: FeSb8Rh2 after structural relaxation (PBE-GGA).

Values from the calculation:
The calculation puts the energy relative to the elements, uncorrected at -31 meV/atom.

Unit cell a=5.3788 b=8.6481 c=7.5863 alpha=126.32 beta=88.14 gamma=89.58
Fractional positions:
Sb (0.2875, 0.7112, 0.8202)
Sb (0.7125, 0.2888, 0.1798)
Sb (0.2791, 0.1498, 0.3144)
Sb (0.2393, 0.5726, 0.1851)
Sb (0.7209, 0.8502, 0.6856)
Sb (0.7607, 0.4274, 0.8149)
Sb (0.2776, 0.1428, 0.8573)
Sb (0.7224, 0.8572, 0.1427)
Fe (0.0000, 0.0000, 0.0000)
Rh (0.2514, 0.3717, 0.7327)
Rh (0.7486, 0.6283, 0.2673)

Entry from the Alexandria database: Sc2AlFe after structural relaxation (PBE-GGA).

Values from the calculation:
The formation energy is -0.73 eV/f.u.

Unit cell a=4.2585 b=3.3195 c=5.5397 alpha=72.87 beta=90.00 gamma=90.00
Fractional positions:
Al (0.0000, 0.6885, 0.4953)
Sc (0.0000, 0.9747, 0.9296)
Sc (0.5000, 0.2772, 0.3163)
Fe (0.5000, 0.5595, 0.7588)

Entry from the Alexandria database: LiCaGaN2 after structural relaxation (PBE-GGA).

Values from the calculation:
The calculation puts the energy relative to the elements, uncorrected at -632 meV/atom.

Unit cell a=3.3352 b=5.8968 c=6.7695 alpha=79.89 beta=75.74 gamma=73.57
Fractional positions:
Li (0.6585, 0.6136, 0.0694)
Li (0.3415, 0.3864, 0.9306)
Ca (0.8089, 0.7462, 0.6359)
Ca (0.1910, 0.2538, 0.3641)
Ga (0.0388, 0.1070, 0.8154)
Ga (0.9612, 0.8930, 0.1846)
N (0.8340, 0.2451, 0.0868)
N (0.5741, 0.1993, 0.6526)
N (0.1660, 0.7549, 0.9132)
N (0.4259, 0.8007, 0.3474)

Entry from the Alexandria database: HoNbB2 after structural relaxation (PBE-GGA).

Values from the calculation:
The formation energy is -0.66 eV/f.u.

Unit cell a=3.4419 b=3.4419 c=6.1673 alpha=73.80 beta=73.80 gamma=60.00
Fractional positions:
Ho (0.5000, 0.5000, 0.5000)
Nb (0.0000, 0.0000, 0.0000)
B (0.7358, 0.7358, 0.7925)
B (0.2642, 0.2642, 0.2075)

Entry from the Alexandria database: Pa3Tc2Bi after structural relaxation (PBE-GGA).

Values from the calculation:
The formation energy is 0.54 eV/f.u.

Unit cell a=3.3776 b=10.0842 c=8.7122 alpha=113.48 beta=90.00 gamma=90.00
Fractional positions:
Pa (0.2500, 0.3468, 0.5205)
Pa (0.7500, 0.6532, 0.4795)
Pa (0.7500, 0.1085, 0.1664)
Pa (0.2500, 0.3650, 0.1568)
Pa (0.2500, 0.8915, 0.8336)
Pa (0.7500, 0.6350, 0.8432)
Tc (0.2500, 0.4319, 0.8451)
Tc (0.7500, 0.0941, 0.4366)
Tc (0.7500, 0.5681, 0.1549)
Tc (0.2500, 0.9059, 0.5634)
Bi (0.2500, 0.8302, 0.2100)
Bi (0.7500, 0.1698, 0.7900)

no.,VASP energy (eV per atom)
1,-7.096
2,-7.268
3,-7.585
4,-3.397
5,-5.875
6,-7.472
7,-5.192
8,-5.032
9,-5.927
10,-1.977
11,-2.559
12,-2.044
13,-4.740
14,-5.479
15,-4.877
16,-5.257
17,-5.487
18,-6.935
19,-2.336
20,-5.135
21,-6.399
22,-5.350
23,-7.166
24,-8.759